# 1
# PuZn4Os

A geometry-optimized PuZn4Os structure (PBE, Alexandria via LeMat-Bulk).

Lattice parameters (Å, degrees): 5.135 5.135 5.135 60.00 60.00 60.00
Fractional positions:
Pu  0.000  0.000  0.000
Zn  0.129  0.624  0.624
Zn  0.624  0.129  0.624
Zn  0.624  0.624  0.129
Zn  0.624  0.624  0.624
Os  0.250  0.250  0.250

Output
energy relative to the elements = 1 meV per atom
final energy = -5.11 eV/atom


# 2
# CrAu2

A geometry-optimized CrAu2 structure (PBE, Alexandria via LeMat-Bulk).

Lattice parameters (Å, degrees): 7.586 7.586 2.921 90.00 90.00 144.47
Fractional positions:
Cr  0.052  0.948  0.750
Cr  0.948  0.052  0.250
Au  0.219  0.781  0.250
Au  0.407  0.593  0.750
Au  0.593  0.407  0.250
Au  0.781  0.219  0.750

Output
energy relative to the elements = 226 meV per atom
final energy = -5.17 eV/atom


# 3
# NaDy2PuS4

A geometry-optimized NaDy2PuS4 structure (PBE, Alexandria via LeMat-Bulk).

Lattice parameters (Å, degrees): 6.847 3.942 6.888 90.00 109.42 90.00
Fractional positions:
Na  0.000  0.000  0.000
Dy  0.000  0.500  0.500
Dy  0.500  0.000  0.500
Pu  0.500  0.500  0.000
S  0.249  0.000  0.744
S  0.254  0.500  0.261
S  0.746  0.500  0.739
S  0.751  0.000  0.256

Output
final energy = -7.02 eV/atom
ΔE_f (raw) = -1.85 eV/atom


# 4
# InPd3Pt4

A geometry-optimized InPd3Pt4 structure (PBE, Alexandria via LeMat-Bulk).

Lattice parameters (Å, degrees): 4.941 4.941 7.929 113.74 113.74 47.42
Fractional positions:
In  0.000  0.000  0.000
Pd  0.000  0.000  0.500
Pd  0.499  0.499  0.250
Pd  0.501  0.501  0.750
Pt  0.248  0.248  0.870
Pt  0.252  0.252  0.379
Pt  0.748  0.748  0.621
Pt  0.752  0.752  0.130

Output
energy relative to the elements = -213 meV per atom
final energy = -5.52 eV/atom


# 5
# Pa3HgO8

A geometry-optimized Pa3HgO8 structure (PBE, Alexandria via LeMat-Bulk).

Lattice parameters (Å, degrees): 7.588 7.588 7.588 56.03 56.03 56.03
Fractional positions:
Pa  0.000  0.500  0.500
Pa  0.500  0.000  0.500
Pa  0.500  0.500  0.000
Hg  0.500  0.500  0.500
O  0.245  0.245  0.666
O  0.245  0.666  0.245
O  0.279  0.279  0.279
O  0.334  0.755  0.755
O  0.666  0.245  0.245
O  0.721  0.721  0.721
O  0.755  0.334  0.755
O  0.755  0.755  0.334

Output
final energy = -8.60 eV/atom
ΔE_f (raw) = -2.90 eV/atom


# 6
# KNa2Au

A geometry-optimized KNa2Au structure (PBE, Alexandria via LeMat-Bulk).

Lattice parameters (Å, degrees): 18.009 9.099 6.504 90.00 90.00 90.00
Fractional positions:
K  0.107  0.250  0.230
K  0.136  0.750  0.035
K  0.364  0.250  0.535
K  0.393  0.750  0.730
K  0.607  0.250  0.270
K  0.636  0.750  0.465
K  0.864  0.250  0.965
K  0.893  0.750  0.770
Na  0.044  0.059  0.716
Na  0.044  0.441  0.716
Na  0.211  0.557  0.522
Na  0.211  0.943  0.522
Na  0.289  0.057  0.022
Na  0.289  0.443  0.022
Na  0.456  0.559  0.216
Na  0.456  0.941  0.216
Na  0.544  0.059  0.784
Na  0.544  0.441  0.784
Na  0.711  0.557  0.978
Na  0.711  0.943  0.978
Na  0.789  0.057  0.478
Na  0.789  0.443  0.478
Na  0.956  0.559  0.284
Na  0.956  0.941  0.284
Au  0.068  0.750  0.530
Au  0.188  0.250  0.739
Au  0.312  0.750  0.239
Au  0.432  0.250  0.030
Au  0.568  0.750  0.970
Au  0.688  0.250  0.761
Au  0.812  0.750  0.261
Au  0.932  0.250  0.470

Output
energy relative to the elements = -204 meV per atom
final energy = -1.96 eV/atom


# 7
# Pr3PN5

A geometry-optimized Pr3PN5 structure (PBE, Alexandria via LeMat-Bulk).

Lattice parameters (Å, degrees): 7.286 7.286 7.286 124.23 124.23 82.81
Fractional positions:
Pr  0.180  0.680  0.860
Pr  0.250  0.250  0.000
Pr  0.320  0.180  0.500
Pr  0.680  0.820  0.500
Pr  0.750  0.750  0.000
Pr  0.820  0.320  0.140
P  0.250  0.750  0.500
P  0.750  0.250  0.500
N  0.000  0.000  0.000
N  0.021  0.789  0.500
N  0.211  0.711  0.232
N  0.289  0.521  0.500
N  0.479  0.979  0.768
N  0.500  0.500  0.000
N  0.521  0.021  0.232
N  0.711  0.479  0.500
N  0.789  0.289  0.768
N  0.979  0.211  0.500

Output
final energy = -7.91 eV/atom
ΔE_f (raw) = -1.09 eV/atom


# 8
# Ho6SnBi2

A geometry-optimized Ho6SnBi2 structure (PBE, Alexandria via LeMat-Bulk).

Lattice parameters (Å, degrees): 6.324 8.312 12.119 90.00 120.97 90.00
Fractional positions:
Ho  0.066  0.204  0.451
Ho  0.066  0.296  0.951
Ho  0.322  0.657  0.455
Ho  0.322  0.843  0.955
Ho  0.366  0.040  0.226
Ho  0.366  0.460  0.726
Ho  0.634  0.540  0.274
Ho  0.634  0.960  0.774
Ho  0.678  0.157  0.045
Ho  0.678  0.343  0.545
Ho  0.934  0.704  0.049
Ho  0.934  0.796  0.549
Sn  0.500  0.000  0.500
Sn  0.500  0.500  0.000
Bi  0.137  0.112  0.740
Bi  0.137  0.388  0.240
Bi  0.863  0.612  0.760
Bi  0.863  0.888  0.260

Output
energy relative to the elements = -441 meV per atom
final energy = -4.80 eV/atom


What did the seventh record say?
# Pr3PN5

A geometry-optimized Pr3PN5 structure (PBE, Alexandria via LeMat-Bulk).

Lattice parameters (Å, degrees): 7.286 7.286 7.286 124.23 124.23 82.81
Fractional positions:
Pr  0.180  0.680  0.860
Pr  0.250  0.250  0.000
Pr  0.320  0.180  0.500
Pr  0.680  0.820  0.500
Pr  0.750  0.750  0.000
Pr  0.820  0.320  0.140
P  0.250  0.750  0.500
P  0.750  0.250  0.500
N  0.000  0.000  0.000
N  0.021  0.789  0.500
N  0.211  0.711  0.232
N  0.289  0.521  0.500
N  0.479  0.979  0.768
N  0.500  0.500  0.000
N  0.521  0.021  0.232
N  0.711  0.479  0.500
N  0.789  0.289  0.768
N  0.979  0.211  0.500

Output
final energy = -7.91 eV/atom
ΔE_f (raw) = -1.09 eV/atom


- What is the final energy in the second record?
  -5.17 eV/atom


- The highest final energy belongs to which entry?
  KNa2Au


- Which value of final energy does entry 1 give?
  -5.11 eV/atom